Entry 1:
Li2Er2PaN4 | PBE | relaxed

Structure (POSCAR):
```
Li2Er2PaN4
1.0
6.034 -1.682 0.000
6.034 1.682 0.000
-2.005 0.000 5.569
Li Er Pa N
2 2 1 4
direct
0.190 0.190 0.499
0.810 0.810 0.501
0.358 0.358 0.935
0.642 0.642 0.065
0.500 0.500 0.500
0.029 0.029 0.255
0.287 0.287 0.264
0.713 0.713 0.736
0.971 0.971 0.745
```

## Properties
* total magnetization: 0.41 μB per cell
* raw formation energy: -1.082 eV/atom

=====

Entry 2:
LiEr2PuN4 | PBE | relaxed

Structure (POSCAR):
```
LiEr2PuN4
1.0
5.708 0.000 0.000
0.000 3.472 0.000
-1.592 0.000 5.496
Li Er Pu N
1 2 1 4
direct
0.000 0.000 0.000
0.000 0.500 0.500
0.500 0.000 0.500
0.500 0.500 0.000
0.246 0.000 0.747
0.293 0.500 0.244
0.707 0.500 0.756
0.754 0.000 0.253
```

## Properties
* total magnetization: 3.00 μB per cell
* raw formation energy: -1.252 eV/atom

=====

Entry 3:
LiErPu2N4 | PBE | relaxed

Structure (POSCAR):
```
LiErPu2N4
1.0
1.710 -5.547 0.000
1.710 5.547 0.000
0.000 0.000 11.127
Li Er Pu N
2 2 4 8
direct
0.159 0.841 0.750
0.841 0.159 0.250
0.106 0.894 0.250
0.894 0.106 0.750
0.370 0.630 0.059
0.370 0.630 0.441
0.630 0.370 0.559
0.630 0.370 0.941
0.000 0.000 0.000
0.000 0.000 0.500
0.269 0.731 0.615
0.269 0.731 0.885
0.453 0.547 0.250
0.547 0.453 0.750
0.731 0.269 0.115
0.731 0.269 0.385
```

## Properties
* total magnetization: 16.00 μB per cell
* raw formation energy: -1.152 eV/atom

=====

Entry 4:
LiErRe2N6 | PBE | relaxed

Structure (POSCAR):
```
LiErRe2N6
1.0
5.544 -4.849 0.000
5.544 4.849 0.000
-2.478 0.000 5.639
Li Er Re N
2 2 4 12
direct
0.241 0.759 0.750
0.759 0.241 0.250
0.407 0.593 0.250
0.593 0.407 0.750
0.120 0.294 0.705
0.294 0.120 0.205
0.706 0.880 0.795
0.880 0.706 0.295
0.115 0.613 0.316
0.126 0.172 0.394
0.172 0.126 0.894
0.288 0.483 0.838
0.387 0.885 0.184
0.483 0.288 0.338
0.517 0.712 0.662
0.613 0.115 0.816
0.712 0.517 0.162
0.828 0.874 0.106
0.874 0.828 0.606
0.885 0.387 0.684
```

## Properties
* total magnetization: 0.00 μB per cell
* raw formation energy: -0.426 eV/atom

=====

Entry 5:
Li2ErReN4 | PBE | relaxed

Structure (POSCAR):
```
Li2ErReN4
1.0
-2.996 3.267 4.591
2.996 -3.267 4.591
2.996 3.267 -4.591
Li Er Re N
4 2 2 8
direct
0.000 0.000 0.000
0.500 0.000 0.000
0.500 0.000 0.500
0.500 0.500 0.500
0.000 0.500 0.500
0.500 0.500 0.000
0.000 0.000 0.500
0.000 0.500 0.000
0.216 0.208 0.492
0.216 0.723 0.008
0.218 0.748 0.469
0.221 0.252 0.969
0.779 0.748 0.031
0.782 0.252 0.531
0.784 0.277 0.992
0.784 0.792 0.508
```

## Properties
* total magnetization: 0.00 μB per cell
* raw formation energy: -0.511 eV/atom

=====

Entry 6:
LiEr2TaN4 | PBE | relaxed

Structure (POSCAR):
```
LiEr2TaN4
1.0
0.000 4.734 3.313
3.300 0.000 3.313
3.300 4.734 0.000
Li Er Ta N
1 2 1 4
direct
0.000 0.000 0.000
0.258 0.258 0.242
0.758 0.758 0.742
0.548 0.548 0.452
0.283 0.719 0.281
0.506 0.965 0.494
0.719 0.283 0.717
0.965 0.506 0.035
```

## Properties
* total magnetization: 0.00 μB per cell
* raw formation energy: -1.406 eV/atom

=====

Entry 7:
LiErTa4N8 | PBE | relaxed

Structure (POSCAR):
```
LiErTa4N8
1.0
3.157 1.823 5.176
-3.157 1.823 5.176
0.000 -3.645 5.176
Li Er Ta N
1 1 4 8
direct
0.000 0.000 0.000
0.379 0.379 0.379
0.002 0.002 0.485
0.002 0.485 0.002
0.485 0.002 0.002
0.622 0.622 0.622
0.237 0.237 0.237
0.243 0.243 0.800
0.243 0.800 0.243
0.244 0.740 0.740
0.740 0.244 0.740
0.740 0.740 0.244
0.757 0.757 0.757
0.800 0.243 0.243
```

## Properties
* total magnetization: 0.00 μB per cell
* raw formation energy: -1.036 eV/atom

=====

Entry 8:
Li2ErTa3N6 | PBE | relaxed

Structure (POSCAR):
```
Li2ErTa3N6
1.0
6.930 -1.564 0.000
6.930 1.564 0.000
-1.770 0.000 6.192
Li Er Ta N
2 1 3 6
direct
0.174 0.174 0.353
0.826 0.826 0.647
0.500 0.500 0.000
0.173 0.173 0.824
0.500 0.500 0.500
0.827 0.827 0.176
0.005 0.005 0.736
0.327 0.327 0.935
0.338 0.338 0.400
0.662 0.662 0.600
0.673 0.673 0.065
0.995 0.995 0.264
```

## Properties
* total magnetization: 0.00 μB per cell
* raw formation energy: -1.205 eV/atom